Below is Tb5Er2In4 after structural relaxation, with properties calculated at the PBE level.

Results
**Excess energy over the best structure of this formula in the dataset**: 0 meV per atom
**Magnetic moment**: 0.05 μB per formula unit

Cell: 3.411 8.614 10.531 Å, 84.10 90.00 90.00°
Element x y z (fractional)
Tb (0.000, 0.464, 0.333)
Tb (0.000, 0.838, 0.143)
Tb (0.000, 0.500, 0.000)
Tb (0.000, 0.162, 0.857)
Tb (0.000, 0.536, 0.667)
Er (0.000, 0.916, 0.639)
Er (0.000, 0.084, 0.361)
In (0.500, 0.245, 0.576)
In (0.500, 0.800, 0.881)
In (0.500, 0.755, 0.424)
In (0.500, 0.200, 0.119)


Below is Tb5Er4In4 after structural relaxation, with properties calculated at the PBE level.

Results
**Magnetic moment**: 0.00 μB per formula unit

Cell: 5.056 8.991 8.991 Å, 85.47 73.67 73.67°
Element x y z (fractional)
Tb (0.688, 0.909, 0.715)
Tb (0.312, 0.091, 0.285)
Tb (0.000, 0.000, 0.000)
Tb (0.597, 0.715, 0.091)
Tb (0.403, 0.285, 0.909)
Er (0.903, 0.491, 0.703)
Er (0.606, 0.297, 0.491)
Er (0.097, 0.509, 0.297)
Er (0.394, 0.703, 0.509)
In (0.764, 0.342, 0.129)
In (0.236, 0.658, 0.871)
In (0.894, 0.871, 0.342)
In (0.106, 0.129, 0.658)


Below is TbEr3In4 after structural relaxation, with properties calculated at the PBE level.

Results
**Excess energy over the best structure of this formula in the dataset**: 0 meV per atom
**Magnetic moment**: 0.00 μB per formula unit

Cell: 5.460 7.161 10.712 Å, 90.00 90.00 90.00°
Element x y z (fractional)
In (0.500, 0.753, 0.000)
In (0.500, 0.753, 0.500)
In (0.500, 0.247, 0.000)
In (0.500, 0.247, 0.500)
In (0.084, 0.753, 0.750)
In (0.916, 0.753, 0.250)
In (0.916, 0.247, 0.250)
In (0.084, 0.247, 0.750)
Tb (0.000, 0.500, 0.000)
Tb (0.000, 0.500, 0.500)
Er (0.000, 0.000, 0.000)
Er (0.000, 0.000, 0.500)
Er (0.577, 0.000, 0.750)
Er (0.423, 0.000, 0.250)
Er (0.573, 0.500, 0.750)
Er (0.427, 0.500, 0.250)


Below is Tb4ErIn5 after structural relaxation, with properties calculated at the PBE level.

Results
**Magnetic moment**: 0.00 μB per formula unit

Cell: 3.750 3.750 18.988 Å, 90.00 90.00 90.00°
Element x y z (fractional)
Tb (0.000, 0.000, 0.198)
Tb (0.000, 0.000, 0.399)
Tb (0.000, 0.000, 0.601)
Tb (0.000, 0.000, 0.802)
Er (0.000, 0.000, 0.000)
In (0.500, 0.500, 0.097)
In (0.500, 0.500, 0.299)
In (0.500, 0.500, 0.500)
In (0.500, 0.500, 0.701)
In (0.500, 0.500, 0.903)


Below is Tb5Er3In after structural relaxation, with properties calculated at the PBE level.

Results
**Magnetic moment**: 0.00 μB per formula unit

Cell: 7.810 7.810 11.299 Å, 84.97 84.97 60.19°
Element x y z (fractional)
Tb (0.916, 0.340, 0.242)
Tb (0.332, 0.668, 0.000)
Tb (0.761, 0.761, 0.035)
Tb (0.495, 0.495, 0.368)
Tb (0.505, 0.505, 0.632)
Tb (0.239, 0.239, 0.965)
Tb (0.340, 0.916, 0.242)
Tb (0.668, 0.332, 0.000)
Tb (0.084, 0.660, 0.758)
Tb (0.660, 0.084, 0.758)
Er (0.665, 0.665, 0.786)
Er (0.738, 0.738, 0.475)
Er (0.000, 0.000, 0.000)
Er (0.000, 0.000, 0.500)
Er (0.335, 0.335, 0.214)
Er (0.262, 0.262, 0.525)
In (0.097, 0.097, 0.743)
In (0.903, 0.903, 0.257)


Below is Tb7Er12In after structural relaxation, with properties calculated at the PBE level.

Results
**Magnetic moment**: 0.00 μB per formula unit

Cell: 8.590 8.590 8.590 Å, 87.39 87.39 87.39°
Element x y z (fractional)
Tb (0.854, 0.609, 0.927)
Tb (0.391, 0.073, 0.146)
Tb (0.073, 0.146, 0.391)
Tb (0.500, 0.500, 0.500)
Tb (0.927, 0.854, 0.609)
Tb (0.609, 0.927, 0.854)
Tb (0.146, 0.391, 0.073)
Er (0.864, 0.251, 0.743)
Er (0.749, 0.257, 0.136)
Er (0.614, 0.141, 0.502)
Er (0.859, 0.498, 0.386)
Er (0.257, 0.136, 0.749)
Er (0.498, 0.386, 0.859)
Er (0.502, 0.614, 0.141)
Er (0.743, 0.864, 0.251)
Er (0.141, 0.502, 0.614)
Er (0.386, 0.859, 0.498)
Er (0.251, 0.743, 0.864)
Er (0.136, 0.749, 0.257)
In (0.000, 0.000, 0.000)


Below is Tb3Er5In2 after structural relaxation, with properties calculated at the PBE level.

Results
**Magnetic moment**: 0.00 μB per formula unit

Cell: 6.314 10.509 10.509 Å, 95.41 72.52 72.52°
Element x y z (fractional)
Tb (0.250, 0.000, 0.000)
Tb (0.750, 0.000, 0.000)
Tb (0.387, 0.345, 0.881)
Tb (0.613, 0.655, 0.119)
Tb (0.887, 0.881, 0.345)
Tb (0.113, 0.119, 0.655)
Er (0.250, 0.500, 0.500)
Er (0.750, 0.500, 0.500)
Er (0.501, 0.749, 0.749)
Er (0.999, 0.251, 0.251)
Er (0.499, 0.251, 0.251)
Er (0.001, 0.749, 0.749)
Er (0.124, 0.539, 0.212)
Er (0.876, 0.461, 0.788)
Er (0.624, 0.212, 0.539)
Er (0.376, 0.788, 0.461)
In (0.136, 0.717, 0.011)
In (0.864, 0.283, 0.989)
In (0.636, 0.011, 0.717)
In (0.364, 0.989, 0.283)


Below is Tb4Er3In2 after structural relaxation, with properties calculated at the PBE level.

Results
**Magnetic moment**: 0.00 μB per formula unit

Cell: 5.281 6.741 9.435 Å, 59.79 73.80 66.95°
Element x y z (fractional)
Tb (0.331, 0.372, 0.966)
Tb (0.880, 0.581, 0.658)
Tb (0.120, 0.419, 0.342)
Tb (0.669, 0.628, 0.034)
Er (0.577, 0.195, 0.652)
Er (0.000, 0.000, 0.000)
Er (0.423, 0.805, 0.348)
In (0.790, 0.103, 0.317)
In (0.210, 0.897, 0.683)


Below is Tb2Er2In3 after structural relaxation, with properties calculated at the PBE level.

Results
**Excess energy over the best structure of this formula in the dataset**: 0 meV per atom
**Magnetic moment**: 0.00 μB per formula unit

Cell: 3.566 7.715 8.292 Å, 117.32 90.00 103.36°
Element x y z (fractional)
Tb (0.868, 0.736, 0.175)
Tb (0.132, 0.264, 0.825)
Er (0.812, 0.623, 0.716)
Er (0.188, 0.377, 0.284)
In (0.500, 0.000, 0.000)
In (0.580, 0.160, 0.449)
In (0.420, 0.840, 0.551)


Below is Tb15ErIn4 after structural relaxation, with properties calculated at the PBE level.

Results
**Magnetic moment**: 0.01 μB per formula unit

Cell: 4.870 4.870 24.716 Å, 90.00 90.00 90.00°
Element x y z (fractional)
Tb (0.500, 0.500, 0.000)
Tb (0.500, 0.500, 0.204)
Tb (0.500, 0.500, 0.402)
Tb (0.500, 0.500, 0.598)
Tb (0.500, 0.500, 0.796)
Tb (0.500, 0.000, 0.104)
Tb (0.500, 0.000, 0.303)
Tb (0.500, 0.000, 0.500)
Tb (0.500, 0.000, 0.697)
Tb (0.500, 0.000, 0.896)
Tb (0.000, 0.500, 0.104)
Tb (0.000, 0.500, 0.303)
Tb (0.000, 0.500, 0.500)
Tb (0.000, 0.500, 0.697)
Tb (0.000, 0.500, 0.896)
Er (0.000, 0.000, 0.000)
In (0.000, 0.000, 0.206)
In (0.000, 0.000, 0.401)
In (0.000, 0.000, 0.599)
In (0.000, 0.000, 0.794)


Below is Tb6ErIn4 after structural relaxation, with properties calculated at the PBE level.

Results
**Magnetic moment**: 0.15 μB per formula unit

Cell: 8.033 8.033 8.033 Å, 85.76 122.47 122.47°
Element x y z (fractional)
Tb (0.000, 0.903, 0.528)
Tb (0.000, 0.528, 0.903)
Tb (0.624, 0.097, 0.097)
Tb (0.500, 0.000, 0.500)
Tb (0.376, 0.472, 0.472)
Tb (0.500, 0.500, 0.000)
Er (0.000, 0.000, 0.000)
In (0.000, 0.266, 0.599)
In (0.667, 0.401, 0.401)
In (0.000, 0.599, 0.266)
In (0.333, 0.734, 0.734)


Below is Tb2Er3In after structural relaxation, with properties calculated at the PBE level.

Results
**Excess energy over the best structure of this formula in the dataset**: 0 meV per atom
**Magnetic moment**: 0.00 μB per formula unit

Cell: 4.857 4.835 7.875 Å, 107.88 90.00 90.00°
Element x y z (fractional)
Tb (0.000, 0.662, 0.323)
Tb (0.000, 0.338, 0.677)
Er (0.500, 0.168, 0.335)
Er (0.500, 0.500, 0.000)
Er (0.500, 0.832, 0.665)
In (0.000, 0.000, 0.000)


Below is Tb5Er2In3 after structural relaxation, with properties calculated at the PBE level.

Results
**Magnetic moment**: 0.26 μB per formula unit

Cell: 6.549 10.407 10.407 Å, 93.70 71.66 71.66°
Each line ends with the local moment (μB).
Element x y z (fractional)
Tb (0.426, 0.236, 0.913)  0.00
Tb (0.926, 0.913, 0.236)  0.00
Tb (0.574, 0.764, 0.087)  0.00
Tb (0.074, 0.087, 0.764)  0.00
Tb (0.491, 0.759, 0.759)  -0.03
Tb (0.509, 0.241, 0.241)  -0.03
Tb (0.750, 0.500, 0.500)  -0.12
Tb (0.250, 0.500, 0.500)  -0.12
Tb (0.009, 0.241, 0.241)  -0.03
Tb (0.991, 0.759, 0.759)  -0.03
Er (0.151, 0.548, 0.150)  -0.01
Er (0.651, 0.150, 0.548)  -0.01
Er (0.849, 0.452, 0.850)  -0.01
Er (0.349, 0.850, 0.452)  -0.01
In (0.362, 0.490, 0.786)  0.00
In (0.862, 0.786, 0.490)  0.00
In (0.638, 0.510, 0.214)  0.00
In (0.138, 0.214, 0.510)  0.00
In (0.250, 0.000, 0.000)  0.00
In (0.750, 0.000, 0.000)  0.00


Below is Tb2Er3In3 after structural relaxation, with properties calculated at the PBE level.

Results
**Magnetic moment**: 0.00 μB per formula unit

Cell: 4.453 4.858 10.624 Å, 103.22 102.10 90.00°
Element x y z (fractional)
Tb (0.260, 0.760, 0.520)
Tb (0.740, 0.240, 0.480)
Er (0.382, 0.382, 0.763)
Er (0.618, 0.618, 0.237)
Er (0.500, 0.000, 0.000)
In (0.876, 0.876, 0.752)
In (0.000, 0.500, 0.000)
In (0.124, 0.124, 0.248)


Below is TbEr4In3 after structural relaxation, with properties calculated at the PBE level.

Results
**Excess energy over the best structure of this formula in the dataset**: 0 meV per atom
**Magnetic moment**: 0.02 μB per formula unit

Cell: 5.296 5.296 9.686 Å, 74.13 74.13 60.00°
Element x y z (fractional)
In (0.266, 0.266, 0.201)
In (0.734, 0.734, 0.799)
In (0.500, 0.500, 0.500)
Tb (0.000, 0.000, 0.000)
Er (0.872, 0.872, 0.385)
Er (0.389, 0.389, 0.834)
Er (0.128, 0.128, 0.615)
Er (0.611, 0.611, 0.166)


Below is TbErIn2 after structural relaxation, with properties calculated at the PBE level.

Results
**Magnetic moment**: 0.00 μB per formula unit

Cell: 3.507 5.541 5.541 Å, 102.59 89.99 89.99°
Element x y z (fractional)
Tb (0.500, 0.000, 0.000)
Er (0.500, 0.500, 0.500)
In (0.000, 0.000, 0.500)
In (0.000, 0.500, 0.000)


Below is TbEr4In5 after structural relaxation, with properties calculated at the PBE level.

Results
**Magnetic moment**: 0.00 μB per formula unit

Cell: 3.715 3.715 18.972 Å, 90.00 90.00 90.00°
Element x y z (fractional)
Tb (0.000, 0.000, 0.000)
Er (0.000, 0.000, 0.202)
Er (0.000, 0.000, 0.401)
Er (0.000, 0.000, 0.599)
Er (0.000, 0.000, 0.798)
In (0.500, 0.500, 0.103)
In (0.500, 0.500, 0.301)
In (0.500, 0.500, 0.500)
In (0.500, 0.500, 0.699)
In (0.500, 0.500, 0.897)


Below is TbErIn4 after structural relaxation, with properties calculated at the PBE level.

Results
**Excess energy over the best structure of this formula in the dataset**: 75 meV per atom
**Magnetic moment**: 0.00 μB per formula unit

Cell: 5.987 5.987 5.987 Å, 60.00 60.00 60.00°
Element x y z (fractional)
In (0.625, 0.625, 0.125)
In (0.625, 0.125, 0.625)
In (0.625, 0.625, 0.625)
In (0.125, 0.625, 0.625)
Tb (0.000, 0.000, 0.000)
Er (0.250, 0.250, 0.250)


Below is Tb2ErIn after structural relaxation, with properties calculated at the PBE level.

Results
**Excess energy over the best structure of this formula in the dataset**: 130 meV per atom
**Magnetic moment**: 0.97 μB per formula unit

Cell: 5.446 5.446 5.446 Å, 60.00 60.00 60.00°
Each line ends with the local moment (μB).
Element x y z (fractional)
In (0.000, 0.000, 0.000)  0.00
Tb (0.250, 0.250, 0.250)  0.22
Tb (0.750, 0.750, 0.750)  0.22
Er (0.500, 0.500, 0.500)  0.28


Below is TbEr7In2 after structural relaxation, with properties calculated at the PBE level.

Results
**Magnetic moment**: 0.17 μB per formula unit

Cell: 5.393 8.881 8.881 Å, 118.63 90.00 90.00°
Element x y z (fractional)
Tb (0.000, 0.000, 0.000)
Er (0.000, 0.772, 0.228)
Er (0.000, 0.228, 0.772)
Er (0.500, 0.059, 0.302)
Er (0.500, 0.941, 0.698)
Er (0.500, 0.302, 0.059)
Er (0.500, 0.698, 0.941)
Er (0.500, 0.500, 0.500)
In (0.500, 0.696, 0.304)
In (0.500, 0.304, 0.696)


Number 1: E_form -0.253 eV/atom, final energy -46.01 eV for the cell shown. Number 2: E_form -0.321 eV/atom, final energy -56.53 eV for the cell shown. Number 3: E_form -0.448 eV/atom, final energy -65.72 eV for the cell shown. Number 4: E_form -0.469 eV/atom, final energy -41.47 eV for the cell shown. Number 5: E_form 0.414 eV/atom, final energy -71.71 eV for the cell shown. Number 6: E_form 0.168 eV/atom, final energy -86.55 eV for the cell shown. Number 7: E_form 0.092 eV/atom, final energy -82.53 eV for the cell shown. Number 8: E_form -0.193 eV/atom, final energy -39.42 eV for the cell shown. Number 9: E_form -0.343 eV/atom, final energy -29.00 eV for the cell shown. Number 10: E_form -0.205 eV/atom, final energy -89.08 eV for the cell shown. Number 11: E_form -0.098 eV/atom, final energy -44.38 eV for the cell shown. Number 12: E_form -0.159 eV/atom, final energy -26.64 eV for the cell shown. Number 13: E_form -0.028 eV/atom, final energy -81.55 eV for the cell shown. Number 14: E_form -0.344 eV/atom, final energy -33.91 eV for the cell shown. Number 15: E_form -0.307 eV/atom, final energy -33.56 eV for the cell shown. Number 16: E_form -0.460 eV/atom, final energy -16.51 eV for the cell shown. Number 17: E_form -0.448 eV/atom, final energy -41.05 eV for the cell shown. Number 18: E_form -0.314 eV/atom, final energy -22.03 eV for the cell shown. Number 19: E_form -0.137 eV/atom, final energy -17.11 eV for the cell shown. Number 20: E_form 0.357 eV/atom, final energy -38.48 eV for the cell shown.